MnInPb | meta-GGA SCAN | single point on PBEsol structure

Lattice parameters (Å, degrees): 6.812 6.812 6.812 90.00 90.00 90.00
Fractional coordinates of all 12 atoms:
1 Mn 0.000 0.000 0.000
2 Mn 0.000 0.500 0.500
3 Mn 0.500 0.000 0.500
4 Mn 0.500 0.500 0.000
5 In 0.000 0.000 0.500
6 In 0.000 0.500 0.000
7 In 0.500 0.000 0.000
8 In 0.500 0.500 0.500
9 Pb 0.250 0.250 0.250
10 Pb 0.250 0.750 0.750
11 Pb 0.750 0.250 0.750
12 Pb 0.750 0.750 0.250

Summary:
total energy: -506.134 eV for the cell shown
space group: F-43m (216)
formation energy: 0.89 eV/f.u.